Entry 1:
! AlMo2 PBE optimized geometry; values from VASP
! electronic total energy	-8.638	eV per atom
! offset from the most stable computed form	0.3	kJ per mole of atoms
! spin magnetization	0.00	μB/cell
! energy relative to the elements	-16.37	kJ/mol of atoms
&SYSTEM
  ibrav = 0, nat = 3, ntyp = 2
/
ATOMIC_SPECIES
Mo 95.94 Mo.upf
Al 26.98 Al.upf
ATOMIC_POSITIONS angstrom
Mo 0.000 0.000 2.887
Mo 1.623 1.623 1.562
Al 0.000 0.000 0.000
CELL_PARAMETERS angstrom
3.246 0.000 0.000
0.000 3.246 0.000
-1.623 -1.623 4.449

Entry 2:
! AlMo5 PBE optimized geometry; values from VASP
! electronic total energy	-9.460	eV per atom
! offset from the most stable computed form	27.4	kJ per mole of atoms
! spin magnetization	0.00	μB/cell
! energy relative to the elements	18.33	kJ/mol of atoms
&SYSTEM
  ibrav = 0, nat = 6, ntyp = 2
/
ATOMIC_SPECIES
Mo 95.94 Mo.upf
Al 26.98 Al.upf
ATOMIC_POSITIONS angstrom
Mo 2.471 3.097 2.715
Mo 6.111 4.777 4.965
Mo 5.317 2.455 3.287
Mo 1.655 0.764 1.023
Mo 8.979 4.145 5.551
Al -1.026 1.482 0.553
CELL_PARAMETERS angstrom
-0.502 2.422 -0.996
-1.550 0.543 2.101
10.634 4.909 6.574

Entry 3:
! AlMo2 PBE optimized geometry; values from VASP
! electronic total energy	-8.195	eV per atom
! offset from the most stable computed form	43.0	kJ per mole of atoms
! spin magnetization	0.00	μB/cell
! energy relative to the elements	26.37	kJ/mol of atoms
&SYSTEM
  ibrav = 0, nat = 6, ntyp = 2
/
ATOMIC_SPECIES
Al 26.98 Al.upf
Mo 95.94 Mo.upf
ATOMIC_POSITIONS angstrom
Al 2.802 -1.871 5.445
Al 4.204 -2.807 8.167
Mo 2.400 -2.149 2.419
Mo 2.223 0.288 3.348
Mo 0.282 -1.413 3.762
Mo 0.701 -0.468 1.361
CELL_PARAMETERS angstrom
3.044 1.511 3.973
-0.838 -1.891 4.802
3.398 -3.363 2.115

Entry 4:
! AlMo5 PBE optimized geometry; values from VASP
! electronic total energy	-9.459	eV per atom
! offset from the most stable computed form	27.5	kJ per mole of atoms
! spin magnetization	0.00	μB/cell
! energy relative to the elements	18.45	kJ/mol of atoms
&SYSTEM
  ibrav = 0, nat = 6, ntyp = 2
/
ATOMIC_SPECIES
Mo 95.94 Mo.upf
Al 26.98 Al.upf
ATOMIC_POSITIONS angstrom
Mo -0.550 -2.256 -2.821
Mo -3.016 1.112 -0.301
Mo 1.780 -0.573 -2.632
Mo -2.924 -1.422 -1.667
Mo -0.599 0.261 -1.422
Al -0.819 -2.239 -0.066
CELL_PARAMETERS angstrom
-4.478 1.651 -0.447
2.643 -0.851 -3.908
-1.638 -4.478 -0.133

Entry 5:
! AlMo2 PBE optimized geometry; values from VASP
! electronic total energy	-8.443	eV per atom
! offset from the most stable computed form	19.1	kJ per mole of atoms
! spin magnetization	0.00	μB/cell
! energy relative to the elements	2.44	kJ/mol of atoms
&SYSTEM
  ibrav = 0, nat = 9, ntyp = 2
/
ATOMIC_SPECIES
Mo 95.94 Mo.upf
Al 26.98 Al.upf
ATOMIC_POSITIONS angstrom
Mo 0.448 -2.383 3.993
Mo -0.385 -0.682 1.801
Mo -0.186 -3.171 0.273
Mo -0.674 -0.956 -1.578
Mo -0.199 -2.997 -3.578
Mo -2.812 -4.351 0.593
Al -2.112 -3.162 -1.649
Al 1.311 -0.853 -0.043
Al -1.760 -2.828 2.467
CELL_PARAMETERS angstrom
-1.408 -2.494 6.583
-2.464 -3.496 -5.765
2.623 -1.707 -0.086

Entry 6:
! AlMo2 PBE optimized geometry; values from VASP
! electronic total energy	-8.208	eV per atom
! offset from the most stable computed form	41.7	kJ per mole of atoms
! spin magnetization	0.00	μB/cell
! energy relative to the elements	25.07	kJ/mol of atoms
&SYSTEM
  ibrav = 0, nat = 12, ntyp = 2
/
ATOMIC_SPECIES
Mo 95.94 Mo.upf
Al 26.98 Al.upf
ATOMIC_POSITIONS angstrom
Mo -3.655 -0.929 -2.459
Mo -4.400 -0.951 -0.030
Mo 0.000 0.000 0.000
Mo -5.761 4.166 2.347
Mo -6.950 2.708 0.640
Mo -2.708 3.149 -0.802
Mo -2.466 0.529 -0.752
Mo -5.016 4.188 -0.082
Al -7.221 3.868 -2.180
Al -2.195 -0.631 2.068
Al -4.207 1.709 1.472
Al -5.209 1.528 -1.584
CELL_PARAMETERS angstrom
-2.459 -3.014 -3.529
-1.540 -0.046 5.021
-5.416 6.297 -1.604